ScCd2Te | GGA-PBE | optimized geometry

Geometry as POSCAR:
```
ScCd2Te
1.0
2.8900 -4.2220 0.0000
2.8900 4.2220 0.0000
0.0000 0.0000 4.0850
Sc Cd Te
1 2 1
direct
0.0000 0.0000 0.0000
0.0000 0.5000 0.5000
0.5000 0.0000 0.5000
0.5000 0.5000 0.0000
```

Calculated values
* E_tot: -3.11 eV/atom
* energy relative to the elements, uncorrected: -1.2 eV per formula unit
* space-group type: No. 65

=====

BaTa2Br | GGA-PBE | optimized geometry

Geometry as POSCAR:
```
BaTa2Br
1.0
0.0000 3.6415 3.6637
3.6331 0.0000 3.6637
3.6331 3.6415 0.0000
Ba Ta Br
1 2 1
direct
0.0000 0.0000 0.0000
0.5000 0.5000 0.5000
0.7500 0.7500 0.7500
0.2500 0.2500 0.2500
```

Calculated values
* energy above the most stable polymorph in this dataset: 904 meV/atom
* E_tot: -5.79 eV/atom
* energy relative to the elements, uncorrected: 4.1 eV per formula unit
* space-group type: No. 22

=====

BaLi2Hg | GGA-PBE | optimized geometry

Geometry as POSCAR:
```
BaLi2Hg
1.0
3.3633 -5.7525 0.0000
3.3633 5.7525 0.0000
-2.1895 0.0000 3.2711
Ba Li Hg
1 2 1
direct
0.0000 0.0000 0.0000
0.0000 0.5000 0.5000
0.5000 0.0000 0.5000
0.5000 0.5000 0.0000
```

Calculated values
* E_tot: -1.55 eV/atom
* space-group type: No. 12

=====

Dy12Y7Ho | GGA-PBE | optimized geometry

Geometry as POSCAR:
```
Dy12Y7Ho
1.0
9.2732 5.3539 2.2324
-9.2732 5.3539 2.2324
0.0000 -10.7078 2.2324
Dy Y Ho
12 7 1
direct
0.0570 0.2712 0.4843
0.2119 0.7480 0.2720
0.2520 0.7280 0.7881
0.2712 0.4843 0.0570
0.2720 0.2119 0.7480
0.4843 0.0570 0.2712
0.5157 0.9430 0.7288
0.7280 0.7881 0.2520
0.7288 0.5157 0.9430
0.7480 0.2720 0.2119
0.7881 0.2520 0.7280
0.9430 0.7288 0.5157
0.0798 0.3853 0.2250
0.2250 0.0798 0.3853
0.3853 0.2250 0.0798
0.5000 0.5000 0.5000
0.6147 0.7750 0.9202
0.7750 0.9202 0.6147
0.9202 0.6147 0.7750
0.0000 0.0000 0.0000
```

Calculated values
* energy above the most stable polymorph in this dataset: 25 meV/atom
* E_tot: -4.93 eV/atom
* space-group type: No. 148

=====

PmPrSmEr | GGA-PBE | optimized geometry

Geometry as POSCAR:
```
PmPrSmEr
1.0
0.0000 4.0758 4.0758
4.0758 0.0000 4.0758
4.0758 4.0758 0.0000
Pm Pr Sm Er
1 1 1 1
direct
0.0000 0.0000 0.0000
0.5000 0.5000 0.5000
0.7500 0.7500 0.7500
0.2500 0.2500 0.2500
```

Calculated values
* energy above the most stable polymorph in this dataset: 107 meV/atom
* E_tot: -4.58 eV/atom
* space-group type: No. 216

=====

AgSbSeCl | GGA-PBE | optimized geometry

Geometry as POSCAR:
```
AgSbSeCl
1.0
3.0136 -2.6202 0.0000
3.0136 2.6202 0.0000
-1.5859 0.0000 6.5555
Ag Sb Se Cl
1 1 1 1
direct
0.0000 0.0000 0.0000
0.2424 0.2424 0.4156
0.8761 0.8761 0.5777
0.5374 0.5374 0.0199
```

Calculated values
* E_tot: -3.30 eV/atom
* energy relative to the elements, uncorrected: -0.9 eV per formula unit
* space-group type: No. 8

=====

Pm5NdY8 | GGA-PBE | optimized geometry

Geometry as POSCAR:
```
Pm5NdY8
1.0
-4.8169 4.8169 5.1335
4.8169 -4.8169 5.1335
4.8169 4.8169 -5.1335
Pm Nd Y
5 1 8
direct
0.0000 0.0000 0.0000
0.3141 0.2111 0.6767
0.3626 0.6859 0.8970
0.5344 0.6374 0.3233
0.7889 0.4656 0.1030
0.7500 0.2500 0.5000
0.0275 0.7767 0.6048
0.0704 0.3298 0.9073
0.1718 0.4226 0.3952
0.2233 0.8282 0.2508
0.4225 0.1632 0.0927
0.5774 0.9725 0.7492
0.6702 0.5775 0.7406
0.8368 0.9296 0.2594
```

Calculated values
* E_tot: -5.50 eV/atom
* space-group type: No. 82

=====

MgPaGaO6 | GGA-PBE | optimized geometry

Geometry as POSCAR:
```
MgPaGaO6
1.0
5.2153 0.0000 0.0000
-2.6077 4.5166 0.0000
0.0000 0.0000 4.7355
Mg Pa Ga O
1 1 1 6
direct
0.0000 0.0000 0.0000
0.3333 0.6667 0.5000
0.6667 0.3333 0.0000
0.3470 0.0138 0.7685
0.3470 0.3332 0.2315
0.6668 0.0138 0.2315
0.6668 0.6530 0.7685
0.9862 0.3332 0.7685
0.9862 0.6530 0.2315
```

Calculated values
* E_tot: -7.13 eV/atom
* energy relative to the elements, uncorrected: -20.3 eV per formula unit
* space-group type: No. 149

=====

CdBrO2 | GGA-PBE | optimized geometry

Geometry as POSCAR:
```
CdBrO2
1.0
3.2729 -1.7244 0.0000
3.2729 1.7244 0.0000
-2.9587 0.0000 5.3629
Cd Br O
1 1 2
direct
0.0000 0.0000 0.0000
0.0000 0.0000 0.5000
0.3960 0.3960 0.2325
0.6040 0.6040 0.7675
```

Calculated values
* energy above the most stable polymorph in this dataset: 317 meV/atom
* E_tot: -3.25 eV/atom
* energy relative to the elements, uncorrected: -0.5 eV per formula unit
* space-group type: No. 12

=====

MgTiO3 | GGA-PBE | optimized geometry

Geometry as POSCAR:
```
MgTiO3
1.0
2.4956 1.4409 5.0200
-2.4956 1.4409 5.0200
0.0000 -2.8817 5.0200
Mg Ti O
2 2 6
direct
0.1470 0.1470 0.1470
0.8530 0.8530 0.8530
0.3531 0.3531 0.3531
0.6469 0.6469 0.6469
0.0624 0.4642 0.7160
0.2840 0.5358 0.9376
0.4642 0.7160 0.0624
0.5358 0.9376 0.2840
0.7160 0.0624 0.4642
0.9376 0.2840 0.5358
```

Calculated values
* E_tot: -7.63 eV/atom
* energy relative to the elements, uncorrected: -13.8 eV per formula unit
* space-group type: No. 155

=====

TbCe2Dy3As6 | GGA-PBE | optimized geometry

Geometry as POSCAR:
```
TbCe2Dy3As6
1.0
3.5980 -6.2314 0.0000
3.5980 6.2314 0.0000
-2.3976 0.0000 6.7764
Tb Ce Dy As
1 2 3 6
direct
0.0000 0.0000 0.0000
0.3334 0.6666 0.0000
0.6666 0.3334 0.0000
0.1669 0.8331 0.5000
0.5000 0.5000 0.5000
0.8331 0.1669 0.5000
0.0841 0.4167 0.2525
0.2479 0.2479 0.7464
0.4167 0.0841 0.2525
0.5833 0.9159 0.7475
0.7521 0.7521 0.2536
0.9159 0.5833 0.7475
```

Calculated values
* E_tot: -6.35 eV/atom
* space-group type: No. 12

=====

LiMgAu2 | GGA-PBE | optimized geometry

Geometry as POSCAR:
```
LiMgAu2
1.0
1.5277 0.8820 8.7050
-1.5277 0.8820 8.7050
0.0000 -1.7641 8.7050
Li Mg Au
1 1 2
direct
0.0000 0.0000 0.0000
0.5000 0.5000 0.5000
0.2516 0.2516 0.2516
0.7484 0.7484 0.7484
```

Calculated values
* E_tot: -2.89 eV/atom
* space-group type: No. 166

=====

Tm2TlRu | GGA-PBE | optimized geometry

Geometry as POSCAR:
```
Tm2TlRu
1.0
3.3527 0.0000 0.0000
0.0000 3.3527 0.0000
0.0000 0.0000 8.2227
Tm Tl Ru
2 1 1
direct
0.0000 0.0000 0.2007
0.0000 0.0000 0.7993
0.5000 0.5000 0.5000
0.5000 0.5000 0.0000
```

Calculated values
* energy above the most stable polymorph in this dataset: 0 meV/atom
* E_tot: -5.61 eV/atom
* space-group type: No. 123

=====

Er3Tm3ScTe8 | GGA-PBE | optimized geometry

Geometry as POSCAR:
```
Er3Tm3ScTe8
1.0
4.2874 2.4753 7.0035
-4.2874 2.4753 7.0035
0.0000 -4.9507 7.0035
Er Tm Sc Te
3 3 1 8
direct
0.0000 0.5000 0.5000
0.5000 0.0000 0.5000
0.5000 0.5000 0.0000
0.0000 0.0000 0.5000
0.0000 0.5000 0.0000
0.5000 0.0000 0.0000
0.0000 0.0000 0.0000
0.2495 0.2495 0.2495
0.2487 0.7503 0.7503
0.2497 0.2497 0.7513
0.2497 0.7513 0.2497
0.7503 0.2487 0.7503
0.7503 0.7503 0.2487
0.7513 0.2497 0.2497
0.7505 0.7505 0.7505
```

Calculated values
* E_tot: -5.18 eV/atom
* energy relative to the elements, uncorrected: -19.1 eV per formula unit
* space-group type: No. 166

=====

AgB2PPt | GGA-PBE | optimized geometry

Geometry as POSCAR:
```
AgB2PPt
1.0
3.9716 0.0000 0.0000
0.0000 3.9716 0.0000
0.0000 0.0000 5.2506
Ag B P Pt
1 2 1 1
direct
0.0000 0.0000 0.0000
0.0000 0.5000 0.0000
0.5000 0.0000 0.0000
0.0000 0.0000 0.5000
0.5000 0.5000 0.5000
```

Calculated values
* E_tot: -3.84 eV/atom
* space-group type: No. 123

=====

NaZrPdSe3 | GGA-PBE | optimized geometry

Geometry as POSCAR:
```
NaZrPdSe3
1.0
7.8700 0.0000 0.0000
0.0000 3.8315 0.0000
-2.7511 0.0000 9.2116
Na Zr Pd Se
2 2 2 6
direct
0.2264 0.2500 0.2715
0.7736 0.7500 0.7285
0.3153 0.7500 0.8249
0.6847 0.2500 0.1751
0.1130 0.2500 0.5864
0.8870 0.7500 0.4136
0.0845 0.2500 0.8483
0.2933 0.7500 0.5412
0.4222 0.7500 0.1312
0.5778 0.2500 0.8688
0.7067 0.2500 0.4588
0.9155 0.7500 0.1517
```

Calculated values
* E_tot: -5.29 eV/atom
* energy relative to the elements, uncorrected: -6.2 eV per formula unit
* space-group type: No. 11

=====

MgTa2P | GGA-PBE | optimized geometry

Geometry as POSCAR:
```
MgTa2P
1.0
0.0000 3.2188 3.2188
3.2188 0.0000 3.2188
3.2188 3.2188 0.0000
Mg Ta P
1 2 1
direct
0.0000 0.0000 0.0000
0.5000 0.5000 0.5000
0.7500 0.7500 0.7500
0.2500 0.2500 0.2500
```

Calculated values
* energy above the most stable polymorph in this dataset: 459 meV/atom
* E_tot: -7.32 eV/atom
* space-group type: No. 216

=====

Ba5HfN4F2 | GGA-PBE | optimized geometry

Geometry as POSCAR:
```
Ba5HfN4F2
1.0
7.9027 0.0000 0.0000
0.0000 5.3511 3.2404
0.0000 -5.3511 3.2404
Ba Hf N F
5 1 4 2
direct
0.0000 0.0000 0.0000
0.2798 0.3088 0.6691
0.2798 0.6691 0.3088
0.7202 0.3088 0.6691
0.7202 0.6691 0.3088
0.5000 0.0117 0.0117
0.2847 0.2011 0.2011
0.5000 0.6632 0.9801
0.5000 0.9801 0.6632
0.7153 0.2011 0.2011
0.0000 0.5547 0.9724
0.0000 0.9724 0.5547
```

Calculated values
* E_tot: -6.27 eV/atom
* energy relative to the elements, uncorrected: -18.6 eV per formula unit
* space-group type: No. 38

=====

Ho12Sc5Al2 | GGA-PBE | optimized geometry

Geometry as POSCAR:
```
Ho12Sc5Al2
1.0
7.2748 -4.5483 0.0000
7.2748 4.5483 0.0000
-0.3394 0.0000 8.0663
Ho Sc Al
12 5 2
direct
0.0553 0.0553 0.3241
0.0722 0.6748 0.3325
0.1678 0.5414 0.7719
0.3252 0.9278 0.6675
0.4174 0.4174 0.1244
0.4586 0.8322 0.2281
0.5414 0.1678 0.7719
0.5826 0.5826 0.8756
0.6748 0.0722 0.3325
0.8322 0.4586 0.2281
0.9278 0.3252 0.6675
0.9447 0.9447 0.6759
0.1875 0.1875 0.0169
0.2682 0.2682 0.4252
0.5000 0.5000 0.5000
0.7318 0.7318 0.5748
0.8125 0.8125 0.9831
0.1645 0.8355 0.0000
0.8355 0.1645 0.0000
```

Calculated values
* E_tot: -4.91 eV/atom
* space-group type: No. 12

=====

K2CrCdBr6 | GGA-PBE | optimized geometry

Geometry as POSCAR:
```
K2CrCdBr6
1.0
7.3657 0.0000 0.0000
0.0000 8.0081 0.0000
-7.1228 0.0000 10.6576
K Cr Cd Br
4 2 2 12
direct
0.2186 0.0876 0.2474
0.2186 0.4124 0.7474
0.7814 0.5876 0.2526
0.7814 0.9124 0.7526
0.5000 0.0000 0.0000
0.5000 0.5000 0.5000
0.0000 0.0000 0.5000
0.0000 0.5000 0.0000
0.1748 0.1767 0.9581
0.1748 0.3233 0.4581
0.2503 0.6831 0.9578
0.2503 0.8169 0.4578
0.3566 0.0050 0.7671
0.3566 0.4950 0.2671
0.6434 0.5050 0.7329
0.6434 0.9950 0.2329
0.7497 0.1831 0.5422
0.7497 0.3169 0.0422
0.8252 0.6767 0.5419
0.8252 0.8233 0.0419
```

Calculated values
* E_tot: -3.40 eV/atom
* energy relative to the elements, uncorrected: -11.3 eV per formula unit
* space-group type: No. 14